Record 1
Entry from Alexandria: an optimized crystal structure of SrAgN (GGA-PBE).

Unit cell a=4.814 b=4.814 c=5.535 alpha=90.00 beta=90.00 gamma=120.00
Element x y z (fractional)
Sr 0.333 0.667 0.250
Sr 0.667 0.333 0.750
Ag 0.000 0.000 0.000
Ag 0.000 0.000 0.500
N 0.333 0.667 0.750
N 0.667 0.333 0.250

Results
Symmetry: P6_3/mmc (194)

***

Record 2
Entry from Alexandria: an optimized crystal structure of Pm2BiF (GGA-PBE).

Unit cell a=5.127 b=5.127 c=3.981 alpha=90.00 beta=90.00 gamma=90.00
Element x y z (fractional)
Pm 0.000 0.500 0.000
Pm 0.500 0.000 0.000
Bi 0.000 0.000 0.500
F 0.500 0.500 0.500

Results
Symmetry: P4/mmm (123)
Energy relative to the lowest polymorph listed for this composition in meV per atom: 397

***

| no. | V (Å³/cell) | formation energy from raw total energies (eV/atom) |
| --- | --- | --- |
| 1 | 111 | 0.254 |
| 2 | 105 | -1.203 |